[1]
VASP calculation (PBE) on an optimized crystal structure of LiZrBPd.

a b c (Å): 4.1786 4.1786 4.1786
angles (deg): 60.00 60.00 60.00
Fractional positions:
B: 0.2500 0.2500 0.2500
Zr: 0.0000 0.0000 0.0000
Li: 0.7500 0.7500 0.7500
Pd: 0.5000 0.5000 0.5000

Properties
The calculation puts the energy above the most stable polymorph in this dataset at 0.00 eV/f.u. The symmetry is F-43m (216).

[2]
VASP calculation (PBE) on an optimized crystal structure of PuGaSn.

a b c (Å): 4.9597 4.9597 4.9597
angles (deg): 60.00 60.00 60.00
Site moments in Bohr magnetons follow the coordinates.
Fractional positions:
Sn: 0.5000 0.5000 0.5000  -0.06
Pu: 0.7500 0.7500 0.7500  5.21
Ga: 0.0000 0.0000 0.0000  0.04

Properties
The calculation puts the energy above the most stable polymorph in this dataset at 0.75 eV/f.u. The symmetry is F-43m (216).